Density functional theory data (PBE) for a relaxed structure of TaTe2PtI.

Summary:
The crystal system is tetragonal. The energy above the lowest structure with this stoichiometry comes out at 0.000 eV per atom. The magnetization comes out at 0.0000 μB/atom. The value obtained for the raw formation energy is 0.842 eV per atom.

Unit cell a=5.371 b=5.371 c=5.367 alpha=90.00 beta=90.00 gamma=90.00
Space group P4/mmm (No. 123)
Inequivalent atoms, fractional coordinates:
Ta 0.000 0.000 0.000 [1 per cell]
Te 0.000 0.500 0.000 [2 per cell]
Pt 0.500 0.500 0.500 [1 per cell]
I 0.000 0.000 0.500 [1 per cell]

Density functional theory data (PBE) for a relaxed structure of Pu2FeSi5.

Summary:
The crystal system is tetragonal. The magnetization comes out at 1.3390 μB/atom. The value obtained for the raw formation energy is -0.381 eV per atom.

Unit cell a=5.725 b=5.725 c=8.510 alpha=90.00 beta=90.00 gamma=90.00
Space group I4mm (No. 107)
Inequivalent atoms, fractional coordinates:
Pu 0.000 0.500 0.000 [4 per cell]
Fe 0.000 0.000 0.276 [2 per cell]
Si 0.000 0.000 0.539 [2 per cell]
Si 0.218 0.218 0.752 [8 per cell]

Density functional theory data (PBE) for a relaxed structure of MnSnBiOs2.

Summary:
The calculation puts the formation energy at 1.20 eV per atom. The crystal system is tetragonal. The magnetization comes out at 0.0000 μB/atom.

Unit cell a=4.633 b=4.633 c=4.806 alpha=90.00 beta=90.00 gamma=90.00
Space group P4/mmm (No. 123)
Inequivalent atoms, fractional coordinates:
Mn 0.000 0.000 0.000 [1 per cell]
Sn 0.000 0.000 0.500 [1 per cell]
Bi 0.500 0.500 0.500 [1 per cell]
Os 0.000 0.500 0.000 [2 per cell]

Density functional theory data (PBE) for a relaxed structure of LaCoTe2.

Summary:
The crystal system is cubic. The magnetization comes out at 0.4788 μB/atom. The value obtained for the raw formation energy is -0.087 eV per atom.

Unit cell a=7.467 b=7.467 c=7.467 alpha=90.00 beta=90.00 gamma=90.00
Space group F-43m (No. 216)
Inequivalent atoms, fractional coordinates:
La 0.000 0.000 0.000 [4 per cell]
Co 0.250 0.250 0.750 [4 per cell]
Te 0.000 0.000 0.500 [4 per cell]
Te 0.250 0.250 0.250 [4 per cell]

Density functional theory data (PBE) for a relaxed structure of Ca5Ag2F12.

Summary:
The crystal system is monoclinic. The magnetization comes out at 0.0050 μB/atom. The value obtained for the raw formation energy is -3.224 eV per atom.

Unit cell a=13.026 b=5.881 c=7.904 alpha=90.00 beta=108.33 gamma=90.00
Space group C2/m (No. 12)
Inequivalent atoms, fractional coordinates:
Ca 0.000 0.000 0.000 [2 per cell]
Ca 0.179 0.500 0.338 [4 per cell]
Ca 0.193 0.500 0.853 [4 per cell]
Ag 0.000 0.231 0.500 [4 per cell]
F 0.004 0.500 0.751 [4 per cell]
F 0.058 0.000 0.291 [4 per cell]
F 0.156 0.249 0.055 [8 per cell]
F 0.190 0.272 0.611 [8 per cell]

Density functional theory data (PBE) for a relaxed structure of YHgSe2.

Summary:
The crystal system is monoclinic. The magnetization comes out at 0.0000 μB/atom. The value obtained for the raw formation energy is -0.972 eV per atom.

Unit cell a=3.678 b=3.689 c=8.153 alpha=90.00 beta=97.49 gamma=90.00
Space group P2/m (No. 10)
Inequivalent atoms, fractional coordinates:
Y 0.000 0.000 0.000 [1 per cell]
Hg 0.500 0.000 0.500 [1 per cell]
Se 0.457 0.500 0.813 [2 per cell]

Density functional theory data (PBE) for a relaxed structure of YMg2Pb.

Summary:
The calculation puts the formation energy at -0.14 eV per atom. The crystal system is monoclinic. The magnetization comes out at 0.0000 μB/atom.

Unit cell a=3.534 b=5.024 c=6.154 alpha=90.00 beta=102.91 gamma=90.00
Space group P2/m (No. 10)
Inequivalent atoms, fractional coordinates:
Y 0.000 0.000 0.000 [1 per cell]
Mg 0.367 0.500 0.749 [2 per cell]
Pb 0.500 0.000 0.500 [1 per cell]

Density functional theory data (PBE) for a relaxed structure of PmHoBeCd.

Summary:
The calculation puts the formation energy at -0.02 eV per atom. The crystal system is cubic. The magnetization comes out at 0.0005 μB/atom.

Unit cell a=7.282 b=7.282 c=7.282 alpha=90.00 beta=90.00 gamma=90.00
Space group F-43m (No. 216)
Inequivalent atoms, fractional coordinates:
Pm 0.000 0.000 0.000 [4 per cell]
Ho 0.000 0.000 0.500 [4 per cell]
Be 0.250 0.250 0.250 [4 per cell]
Cd 0.250 0.250 0.750 [4 per cell]

Density functional theory data (PBE) for a relaxed structure of BeNiHRh2.

Summary:
The crystal system is tetragonal. The energy above the lowest structure with this stoichiometry comes out at 0.000 eV per atom. The magnetization comes out at 0.0000 μB/atom.

Unit cell a=3.903 b=3.903 c=3.350 alpha=90.00 beta=90.00 gamma=90.00
Space group P4/mmm (No. 123)
Inequivalent atoms, fractional coordinates:
Be 0.000 0.000 0.000 [1 per cell]
Ni 0.500 0.500 0.000 [1 per cell]
H 0.500 0.500 0.500 [1 per cell]
Rh 0.000 0.500 0.500 [2 per cell]

Density functional theory data (PBE) for a relaxed structure of LiZr2P.

Summary:
The calculation puts the formation energy at -0.25 eV per atom. The crystal system is tetragonal. The magnetization comes out at 0.0000 μB/atom.

Unit cell a=7.405 b=7.405 c=5.616 alpha=90.00 beta=90.00 gamma=90.00
Space group I-42d (No. 122)
Inequivalent atoms, fractional coordinates:
Li 0.000 0.000 0.000 [4 per cell]
Zr 0.221 0.250 0.625 [8 per cell]
P 0.000 0.000 0.500 [4 per cell]

Density functional theory data (PBE) for a relaxed structure of PmHo2Th3.

Summary:
The calculation puts the formation energy at 0.05 eV per atom. The crystal system is monoclinic. The magnetization comes out at 0.0000 μB/atom.

Unit cell a=17.503 b=7.124 c=6.203 alpha=90.00 beta=90.06 gamma=90.00
Space group C2/c (No. 15)
Inequivalent atoms, fractional coordinates:
Pm 0.000 0.131 0.250 [4 per cell]
Ho 0.169 0.126 0.917 [8 per cell]
Th 0.000 0.380 0.750 [4 per cell]
Th 0.166 0.380 0.419 [8 per cell]

Density functional theory data (PBE) for a relaxed structure of La2TmAlO.

Summary:
The crystal system is tetragonal. The magnetization comes out at 0.0000 μB/atom. The value obtained for the raw formation energy is -1.329 eV per atom.

Unit cell a=5.094 b=5.094 c=4.608 alpha=90.00 beta=90.00 gamma=90.00
Space group P4/mmm (No. 123)
Inequivalent atoms, fractional coordinates:
La 0.000 0.500 0.000 [2 per cell]
Tm 0.000 0.000 0.500 [1 per cell]
Al 0.500 0.500 0.500 [1 per cell]
O 0.000 0.000 0.000 [1 per cell]

Density functional theory data (PBE) for a relaxed structure of Ac2CeSi3Pt12.

Summary:
The crystal system is trigonal. The magnetization comes out at 0.0000 μB/atom. The value obtained for the raw formation energy is -0.591 eV per atom.

Unit cell a=8.3442 b=8.3442 c=19.0822 alpha=90.00 beta=90.00 gamma=120.00
Space group R-3m (No. 166, hexagonal axes)
Inequivalent atoms, fractional coordinates:
Ac 0.0000 0.0000 0.1031 [6 per cell]
Ce 0.0000 0.0000 0.5000 [3 per cell]
Si 0.0000 0.5000 0.0000 [9 per cell]
Pt 0.0217 0.5109 0.8753 [18 per cell]
Pt 0.0381 0.5190 0.3643 [18 per cell]

Density functional theory data (PBE) for a relaxed structure of Ba2Li3CdSn4.

Summary:
The calculation puts the formation energy at -0.47 eV per atom. The crystal system is tetragonal. The magnetization comes out at 0.0000 μB/atom.

Unit cell a=4.790 b=4.790 c=12.046 alpha=90.00 beta=90.00 gamma=90.00
Space group P-4m2 (No. 115)
Inequivalent atoms, fractional coordinates:
Ba 0.000 0.500 0.250 [2 per cell]
Li 0.000 0.000 0.000 [1 per cell]
Li 0.000 0.500 0.632 [2 per cell]
Cd 0.500 0.500 0.000 [1 per cell]
Sn 0.000 0.000 0.500 [1 per cell]
Sn 0.000 0.500 0.865 [2 per cell]
Sn 0.500 0.500 0.500 [1 per cell]

Density functional theory data (PBE) for a relaxed structure of La5Zr4.

Summary:
The calculation puts the formation energy at 0.25 eV per atom. The crystal system is hexagonal. The magnetization comes out at 0.0000 μB/atom.

Unit cell a=9.5335 b=9.5335 c=6.8395 alpha=90.00 beta=90.00 gamma=120.00
Space group P6_3/mcm (No. 193)
Inequivalent atoms, fractional coordinates:
La 0.0000 0.3299 0.2500 [6 per cell]
La 0.3333 0.6667 0.0000 [4 per cell]
Zr 0.0000 0.0000 0.0000 [2 per cell]
Zr 0.0000 0.3115 0.7500 [6 per cell]

Density functional theory data (PBE) for a relaxed structure of PmTm3Tc.

Summary:
The calculation puts the formation energy at -0.03 eV per atom. The crystal system is orthorhombic. The energy above the lowest structure with this stoichiometry comes out at 0.064 eV per atom. The magnetization comes out at 0.0000 μB/atom.

Unit cell a=4.615 b=8.374 c=7.237 alpha=90.00 beta=90.00 gamma=90.00
Space group Pmmn (No. 59, origin choice 2)
Inequivalent atoms, fractional coordinates:
Pm 0.250 0.250 0.067 [2 per cell]
Tm 0.250 0.549 0.671 [4 per cell]
Tm 0.250 0.750 0.277 [2 per cell]
Tc 0.250 0.250 0.472 [2 per cell]

Density functional theory data (PBE) for a relaxed structure of K3TeH.

Summary:
The crystal system is monoclinic. The energy above the lowest structure with this stoichiometry comes out at 0.092 eV per atom. The magnetization comes out at 0.0000 μB/atom.

Unit cell a=15.527 b=5.505 c=9.218 alpha=90.00 beta=113.26 gamma=90.00
Space group C2/m (No. 12)
Inequivalent atoms, fractional coordinates:
K 0.068 0.000 0.196 [4 per cell]
K 0.137 0.500 0.500 [4 per cell]
K 0.207 0.000 0.816 [4 per cell]
Te 0.083 0.500 0.846 [4 per cell]
H 0.182 0.000 0.500 [4 per cell]

Density functional theory data (PBE) for a relaxed structure of LiCaPrRu.

Summary:
The calculation puts the formation energy at 0.01 eV per atom. The crystal system is cubic. The magnetization comes out at 0.0000 μB/atom.

Unit cell a=7.158 b=7.158 c=7.158 alpha=90.00 beta=90.00 gamma=90.00
Space group F-43m (No. 216)
Inequivalent atoms, fractional coordinates:
Li 0.000 0.000 0.000 [4 per cell]
Ca 0.250 0.250 0.750 [4 per cell]
Pr 0.250 0.250 0.250 [4 per cell]
Ru 0.000 0.000 0.500 [4 per cell]

Density functional theory data (PBE) for a relaxed structure of Tb4GeCl5.

Summary:
The crystal system is monoclinic. The magnetization comes out at 0.0000 μB/atom. The value obtained for the raw formation energy is -1.704 eV per atom.

Unit cell a=17.598 b=3.976 c=8.165 alpha=90.00 beta=102.98 gamma=90.00
Space group C2/m (No. 12)
Inequivalent atoms, fractional coordinates:
Tb 0.001 0.000 0.234 [4 per cell]
Tb 0.157 0.500 0.086 [4 per cell]
Ge 0.000 0.500 0.000 [2 per cell]
Cl 0.000 0.500 0.500 [2 per cell]
Cl 0.166 0.000 0.324 [4 per cell]
Cl 0.172 0.000 0.849 [4 per cell]

Density functional theory data (PBE) for a relaxed structure of AsPtPb2.

Summary:
The calculation puts the formation energy at -0.15 eV per atom. The crystal system is monoclinic. The magnetization comes out at 0.0000 μB/atom.

Unit cell a=4.935 b=4.418 c=4.947 alpha=90.00 beta=108.55 gamma=90.00
Space group Pm (No. 6)
Inequivalent atoms, fractional coordinates:
As 0.000 0.000 0.000 [1 per cell]
Pt 0.851 0.500 0.149 [1 per cell]
Pb 0.255 0.500 0.745 [1 per cell]
Pb 0.616 0.000 0.384 [1 per cell]

Density functional theory data (PBE) for a relaxed structure of BePt3Pb.

Summary:
The calculation puts the formation energy at -0.06 eV per atom. The crystal system is cubic. The energy above the lowest structure with this stoichiometry comes out at 0.000 eV per atom. The magnetization comes out at 0.0000 μB/atom.

Unit cell a=4.409 b=4.409 c=4.409 alpha=90.00 beta=90.00 gamma=90.00
Space group Pm-3m (No. 221)
Inequivalent atoms, fractional coordinates:
Be 0.000 0.000 0.000 [1 per cell]
Pt 0.000 0.000 0.500 [3 per cell]
Pb 0.500 0.500 0.500 [1 per cell]

Density functional theory data (PBE) for a relaxed structure of VCd3Ru.

Summary:
The calculation puts the formation energy at 1.04 eV per atom. The crystal system is cubic. The energy above the lowest structure with this stoichiometry comes out at 0.000 eV per atom. The magnetization comes out at 0.7402 μB/atom.

Unit cell a=5.101 b=5.101 c=5.101 alpha=90.00 beta=90.00 gamma=90.00
Space group Pm-3m (No. 221)
Inequivalent atoms, fractional coordinates:
V 0.000 0.000 0.000 [1 per cell]
Cd 0.000 0.500 0.500 [3 per cell]
Ru 0.500 0.500 0.500 [1 per cell]

Density functional theory data (PBE) for a relaxed structure of Ce2DyCu2Ge2.

Summary:
The calculation puts the formation energy at -0.50 eV per atom. The crystal system is trigonal. The magnetization comes out at 0.2165 μB/atom.

Unit cell a=4.2291 b=4.2291 c=27.1555 alpha=90.00 beta=90.00 gamma=120.00
Space group R-3m (No. 166, hexagonal axes)
Inequivalent atoms, fractional coordinates:
Ce 0.0000 0.0000 0.1401 [6 per cell]
Dy 0.0000 0.0000 0.0000 [3 per cell]
Cu 0.0000 0.0000 0.4036 [6 per cell]
Ge 0.0000 0.0000 0.2646 [6 per cell]

Density functional theory data (PBE) for a relaxed structure of SiPSe2.

Summary:
The crystal system is tetragonal. The energy above the lowest structure with this stoichiometry comes out at 0.481 eV per atom. The magnetization comes out at 0.0000 μB/atom. The value obtained for the raw formation energy is 0.394 eV per atom.

Unit cell a=6.858 b=6.858 c=7.189 alpha=90.00 beta=90.00 gamma=90.00
Space group I-42d (No. 122)
Inequivalent atoms, fractional coordinates:
Si 0.000 0.000 0.000 [4 per cell]
P 0.000 0.000 0.500 [4 per cell]
Se 0.245 0.250 0.125 [8 per cell]

Density functional theory data (PBE) for a relaxed structure of TlIrRuO2.

Summary:
The crystal system is tetragonal. The energy above the lowest structure with this stoichiometry comes out at 0.000 eV per atom. The magnetization comes out at 0.2700 μB/atom. The value obtained for the raw formation energy is 0.139 eV per atom.

Unit cell a=3.819 b=3.819 c=5.496 alpha=90.00 beta=90.00 gamma=90.00
Space group P4/mmm (No. 123)
Inequivalent atoms, fractional coordinates:
Tl 0.000 0.000 0.000 [1 per cell]
Ir 0.500 0.500 0.500 [1 per cell]
Ru 0.500 0.500 0.000 [1 per cell]
O 0.000 0.500 0.500 [2 per cell]